DyAlCd11 | the Alexandria database | GGA-PBE | optimized geometry; formation energy = -1.121 kcal/mol of atoms
1.0
-5.5328 0.0569 -2.0089
-4.9757 -2.4007 5.1686
-3.5424 6.6414 1.3201
Cd Dy Al
11 1 1
direct
0.2928 0.2131 0.2095
0.0085 0.6466 0.3469
0.9915 0.3534 0.6531
0.4977 0.7869 0.2095
0.6446 0.3534 0.3469
0.0000 0.5000 0.0000
0.3554 0.6466 0.6531
0.7072 0.7869 0.7905
0.5023 0.2131 0.7905
0.5000 0.0000 0.5000
0.0000 0.0000 0.5000
0.0000 0.0000 0.0000
0.5000 0.5000 0.0000